1.
The following is a DFT calculation (PBE) of a geometry-optimized LaTiB2 structure.

Properties
Energy above the lowest structure with this stoichiometry   0.00 eV/f.u.
Total energy   -6.1305 eV/atom
Calculated formation energy   414 meV per atom
Total moment   0.00 Bohr magnetons per cell

```
data_LaTiB2
_chemical_formula_sum 'La2 Ti2 B4'
_cell_length_a 4.2267
_cell_length_b 4.2267
_cell_length_c 8.2276
_cell_angle_alpha 75.12
_cell_angle_beta 75.12
_cell_angle_gamma 90.00
_space_group_name_H-M_alt 'P 1'
_space_group_IT_number 1
loop_
_space_group_symop_operation_xyz
'x,y,z'
loop_
_atom_site_label
_atom_site_fract_x
_atom_site_fract_y
_atom_site_fract_z
_atom_site_occupancy
B1 0.3748 0.1250 0.2500 1
B2 0.3752 0.6250 0.2500 1
B3 0.3750 0.6252 0.7500 1
B4 0.8750 0.6248 0.7500 1
Ti1 0.5000 0.5000 0.0000 1
Ti2 0.2500 0.7500 0.5000 1
La1 0.0000 0.0000 0.0000 1
La2 0.7500 0.2500 0.5000 1
```

2.
The following is a DFT calculation (PBE) of a geometry-optimized La2TiB structure.

Properties
Total energy   -5.8170 eV/atom
Calculated formation energy   290 meV per atom
Total moment   0.01 Bohr magnetons per cell

```
data_La2TiB
_chemical_formula_sum 'La4 Ti2 B2'
_cell_length_a 9.9627
_cell_length_b 9.9627
_cell_length_c 7.3728
_cell_angle_alpha 47.50
_cell_angle_beta 47.50
_cell_angle_gamma 90.00
_space_group_name_H-M_alt 'P 1'
_space_group_IT_number 1
loop_
_space_group_symop_operation_xyz
'x,y,z'
loop_
_atom_site_label
_atom_site_fract_x
_atom_site_fract_y
_atom_site_fract_z
_atom_site_occupancy
B1 0.5000 0.5000 0.0000 1
B2 0.2500 0.7500 0.5000 1
Ti1 0.0000 0.0000 0.0000 1
Ti2 0.7500 0.2500 0.5000 1
La1 0.4725 0.1250 0.2500 1
La2 0.2775 0.6250 0.2500 1
La3 0.3750 0.5275 0.7500 1
La4 0.8750 0.7225 0.7500 1
```

3.
The following is a DFT calculation (PBE) of a geometry-optimized La2Ti2B structure.

Properties
Energy above the lowest structure with this stoichiometry   0.00 eV/f.u.
Total energy   -6.1585 eV/atom
Calculated formation energy   306 meV per atom
Total moment   0.00 Bohr magnetons per cell

```
data_La2Ti2B
_chemical_formula_sum 'La4 Ti4 B2'
_cell_length_a 6.4166
_cell_length_b 6.4166
_cell_length_c 5.0313
_cell_angle_alpha 90.00
_cell_angle_beta 90.00
_cell_angle_gamma 90.00
_space_group_name_H-M_alt 'P 1'
_space_group_IT_number 1
loop_
_space_group_symop_operation_xyz
'x,y,z'
loop_
_atom_site_label
_atom_site_fract_x
_atom_site_fract_y
_atom_site_fract_z
_atom_site_occupancy
B1 0.0000 0.0000 0.0000 1
B2 0.5000 0.5000 0.0000 1
Ti1 0.3363 0.8363 0.0000 1
Ti2 0.8363 0.6637 0.0000 1
Ti3 0.6637 0.1637 0.0000 1
Ti4 0.1637 0.3363 0.0000 1
La1 0.1705 0.6705 0.5000 1
La2 0.6705 0.8295 0.5000 1
La3 0.8295 0.3295 0.5000 1
La4 0.3295 0.1705 0.5000 1
```

4.
The following is a DFT calculation (PBE) of a geometry-optimized LaTi3B structure.

Properties
Energy above the lowest structure with this stoichiometry   0.00 eV/f.u.
Total energy   -6.9546 eV/atom
Calculated formation energy   103 meV per atom
Total moment   0.00 Bohr magnetons per cell

```
data_LaTi3B
_chemical_formula_sum 'La1 Ti3 B1'
_cell_length_a 4.5113
_cell_length_b 4.5113
_cell_length_c 4.5113
_cell_angle_alpha 90.00
_cell_angle_beta 90.00
_cell_angle_gamma 90.00
_space_group_name_H-M_alt 'P 1'
_space_group_IT_number 1
loop_
_space_group_symop_operation_xyz
'x,y,z'
loop_
_atom_site_label
_atom_site_fract_x
_atom_site_fract_y
_atom_site_fract_z
_atom_site_occupancy
B1 0.0000 0.0000 0.0000 1
Ti1 0.0000 0.5000 0.0000 1
Ti2 0.0000 0.0000 0.5000 1
Ti3 0.5000 0.0000 0.0000 1
La1 0.5000 0.5000 0.5000 1
```

5.
The following is a DFT calculation (PBE) of a geometry-optimized LaTi3B structure.

Properties
Energy above the lowest structure with this stoichiometry   9.64 eV/f.u.
Total energy   -5.0263 eV/atom
Calculated formation energy   2032 meV per atom
Total moment   0.00 Bohr magnetons per cell

```
data_LaTi3B
_chemical_formula_sum 'La1 Ti3 B1'
_cell_length_a 4.6967
_cell_length_b 4.6967
_cell_length_c 4.6967
_cell_angle_alpha 90.00
_cell_angle_beta 90.00
_cell_angle_gamma 90.00
_space_group_name_H-M_alt 'P 1'
_space_group_IT_number 1
loop_
_space_group_symop_operation_xyz
'x,y,z'
loop_
_atom_site_label
_atom_site_fract_x
_atom_site_fract_y
_atom_site_fract_z
_atom_site_occupancy
B1 0.5000 0.5000 0.5000 1
Ti1 0.0000 0.5000 0.0000 1
Ti2 0.0000 0.0000 0.5000 1
Ti3 0.5000 0.0000 0.0000 1
La1 0.0000 0.0000 0.0000 1
```

6.
The following is a DFT calculation (PBE) of a geometry-optimized LaTlB3 structure.

Properties
Energy above the lowest structure with this stoichiometry   0.00 eV/f.u.
Total energy   -3.8458 eV/atom
Calculated formation energy   1619 meV per atom
Total moment   0.00 Bohr magnetons per cell

```
data_LaTlB3
_chemical_formula_sum 'La1 Tl1 B3'
_cell_length_a 4.5543
_cell_length_b 4.5543
_cell_length_c 4.5543
_cell_angle_alpha 90.00
_cell_angle_beta 90.00
_cell_angle_gamma 90.00
_space_group_name_H-M_alt 'P 1'
_space_group_IT_number 1
loop_
_space_group_symop_operation_xyz
'x,y,z'
loop_
_atom_site_label
_atom_site_fract_x
_atom_site_fract_y
_atom_site_fract_z
_atom_site_occupancy
Tl1 0.0000 0.0000 0.0000 1
B1 0.0000 0.5000 0.0000 1
B2 0.0000 0.0000 0.5000 1
B3 0.5000 0.0000 0.0000 1
La1 0.5000 0.5000 0.5000 1
```

7.
The following is a DFT calculation (PBE) of a geometry-optimized LaTl3B structure.

Properties
Energy above the lowest structure with this stoichiometry   0.00 eV/f.u.
Total energy   -3.3196 eV/atom
Calculated formation energy   421 meV per atom
Total moment   0.00 Bohr magnetons per cell

```
data_LaTl3B
_chemical_formula_sum 'La1 Tl3 B1'
_cell_length_a 5.0562
_cell_length_b 5.0562
_cell_length_c 5.0562
_cell_angle_alpha 90.00
_cell_angle_beta 90.00
_cell_angle_gamma 90.00
_space_group_name_H-M_alt 'P 1'
_space_group_IT_number 1
loop_
_space_group_symop_operation_xyz
'x,y,z'
loop_
_atom_site_label
_atom_site_fract_x
_atom_site_fract_y
_atom_site_fract_z
_atom_site_occupancy
Tl1 0.0000 0.5000 0.0000 1
Tl2 0.0000 0.0000 0.5000 1
Tl3 0.5000 0.0000 0.0000 1
B1 0.0000 0.0000 0.0000 1
La1 0.5000 0.5000 0.5000 1
```

8.
The following is a DFT calculation (PBE) of a geometry-optimized LaTl3B structure.

Properties
Energy above the lowest structure with this stoichiometry   5.56 eV/f.u.
Total energy   -2.2081 eV/atom
Calculated formation energy   1533 meV per atom
Total moment   0.00 Bohr magnetons per cell

```
data_LaTl3B
_chemical_formula_sum 'La1 Tl3 B1'
_cell_length_a 6.1784
_cell_length_b 6.1784
_cell_length_c 6.1784
_cell_angle_alpha 90.00
_cell_angle_beta 90.00
_cell_angle_gamma 90.00
_space_group_name_H-M_alt 'P 1'
_space_group_IT_number 1
loop_
_space_group_symop_operation_xyz
'x,y,z'
loop_
_atom_site_label
_atom_site_fract_x
_atom_site_fract_y
_atom_site_fract_z
_atom_site_occupancy
Tl1 0.0000 0.5000 0.0000 1
Tl2 0.0000 0.0000 0.5000 1
Tl3 0.5000 0.0000 0.0000 1
B1 0.5000 0.5000 0.5000 1
La1 0.0000 0.0000 0.0000 1
```

9.
The following is a DFT calculation (PBE) of a geometry-optimized LaTlB3 structure.

Properties
Energy above the lowest structure with this stoichiometry   2.50 eV/f.u.
Total energy   -3.3465 eV/atom
Calculated formation energy   2119 meV per atom
Total moment   0.00 Bohr magnetons per cell

```
data_LaTlB3
_chemical_formula_sum 'La1 Tl1 B3'
_cell_length_a 4.9553
_cell_length_b 4.9553
_cell_length_c 4.9553
_cell_angle_alpha 90.00
_cell_angle_beta 90.00
_cell_angle_gamma 90.00
_space_group_name_H-M_alt 'P 1'
_space_group_IT_number 1
loop_
_space_group_symop_operation_xyz
'x,y,z'
loop_
_atom_site_label
_atom_site_fract_x
_atom_site_fract_y
_atom_site_fract_z
_atom_site_occupancy
Tl1 0.5000 0.5000 0.5000 1
B1 0.0000 0.5000 0.0000 1
B2 0.0000 0.0000 0.5000 1
B3 0.5000 0.0000 0.0000 1
La1 0.0000 0.0000 0.0000 1
```

10.
The following is a DFT calculation (PBE) of a geometry-optimized LaTlB2W structure.

Properties
Total energy   -4.6444 eV/atom
Calculated formation energy   2076 meV per atom
Total moment   2.02 Bohr magnetons per cell

```
data_LaTlB2W
_chemical_formula_sum 'La1 Tl1 B2 W1'
_cell_length_a 4.5235
_cell_length_b 5.3703
_cell_length_c 4.5235
_cell_angle_alpha 90.00
_cell_angle_beta 90.00
_cell_angle_gamma 90.00
_space_group_name_H-M_alt 'P 1'
_space_group_IT_number 1
loop_
_space_group_symop_operation_xyz
'x,y,z'
loop_
_atom_site_label
_atom_site_fract_x
_atom_site_fract_y
_atom_site_fract_z
_atom_site_occupancy
Tl1 0.0000 0.0000 0.0000 1
B1 0.0000 0.0000 0.5000 1
B2 0.5000 0.0000 0.0000 1
W1 0.0000 0.5000 0.0000 1
La1 0.5000 0.5000 0.5000 1
```

11.
The following is a DFT calculation (PBE) of a geometry-optimized La2YTlB structure.

Properties
Total energy   -5.2466 eV/atom
Calculated formation energy   -174 meV per atom
Total moment   0.00 Bohr magnetons per cell

```
data_La2YTlB
_chemical_formula_sum 'La2 Y1 Tl1 B1'
_cell_length_a 5.3009
_cell_length_b 5.3009
_cell_length_c 5.1484
_cell_angle_alpha 90.00
_cell_angle_beta 90.00
_cell_angle_gamma 90.00
_space_group_name_H-M_alt 'P 1'
_space_group_IT_number 1
loop_
_space_group_symop_operation_xyz
'x,y,z'
loop_
_atom_site_label
_atom_site_fract_x
_atom_site_fract_y
_atom_site_fract_z
_atom_site_occupancy
Y1 0.0000 0.0000 0.5000 1
Tl1 0.5000 0.5000 0.5000 1
B1 0.0000 0.0000 0.0000 1
La1 0.0000 0.5000 0.0000 1
La2 0.5000 0.0000 0.0000 1
```

12.
The following is a DFT calculation (PBE) of a geometry-optimized LaY2TlB structure.

Properties
Total energy   -5.6005 eV/atom
Calculated formation energy   -221 meV per atom
Total moment   0.00 Bohr magnetons per cell

```
data_LaY2TlB
_chemical_formula_sum 'La1 Y2 Tl1 B1'
_cell_length_a 5.1503
_cell_length_b 5.1503
_cell_length_c 5.1099
_cell_angle_alpha 90.00
_cell_angle_beta 90.00
_cell_angle_gamma 90.00
_space_group_name_H-M_alt 'P 1'
_space_group_IT_number 1
loop_
_space_group_symop_operation_xyz
'x,y,z'
loop_
_atom_site_label
_atom_site_fract_x
_atom_site_fract_y
_atom_site_fract_z
_atom_site_occupancy
Y1 0.0000 0.5000 0.0000 1
Y2 0.5000 0.0000 0.0000 1
Tl1 0.5000 0.5000 0.5000 1
B1 0.0000 0.0000 0.0000 1
La1 0.0000 0.0000 0.5000 1
```